Entry 1:
Computed, not measured: Pr4ThTl3 after structural relaxation at the GGA-PBE level of DFT.

Cell and atoms, written as extended XYZ:
```
8
Lattice="3.717 0.000 0.000 0.000 5.704 0.000 0.000 0.000 11.706" Properties=species:S:1:pos:R:3 pbc="T T T"
Pr 0.000 0.000 0.000
Pr 0.000 0.000 5.853
Pr 0.000 2.852 2.853
Pr 0.000 2.852 8.853
Th 1.859 2.852 5.853
Tl 1.859 0.000 2.994
Tl 1.859 0.000 8.712
Tl 1.859 2.852 0.000
```

Output
- DOS(E_F): 10.92 states/eV/f.u.
- Space group: No. 47
- Total moment: 0.00 Bohr magnetons per cell
- VASP energy: -4.441 eV/atom

---

Entry 2:
Computed, not measured: YSc2Zn after structural relaxation at the GGA-PBE level of DFT.

Cell and atoms, written as extended XYZ:
```
4
Lattice="1.646 0.950 10.711 -1.646 0.950 10.711 0.000 -1.900 10.711" Properties=species:S:1:pos:R:3 pbc="T T T"
Y 0.000 0.000 0.000
Sc 0.000 0.000 3.231
Sc 0.000 0.000 28.901
Zn 0.000 0.000 16.066
```

Output
- DOS(E_F): 4.70 states/eV/f.u.
- Space group: No. 166
- Total moment: 1.43 Bohr magnetons per cell
- VASP energy: -4.952 eV/atom